# PBE-GGA LiTcIr2, relaxed
# Spin magnetization, μB per atom: 0.00
# Density, g/cm3: 15.06
# DOS at the Fermi energy, states/eV per atom: 0.8514
# Raw total energy, eV/atom: -7.47
# E above lowest polymorph, meV per atom: 147.7
# Energy of formation, eV per atom: 0.033
data_LiTcIr2
_chemical_formula_sum 'Li2 Tc2 Ir4'
_symmetry_space_group_name_H-M 'I m m 2'
_symmetry_Int_Tables_number 44
_symmetry_space_group_name_Hall 'I 2 -2'
_cell_length_a 2.8804
_cell_length_b 4.3733
_cell_length_c 8.5699
_cell_angle_alpha 90.00
_cell_angle_beta 90.00
_cell_angle_gamma 90.00
loop_
_atom_site_label
_atom_site_type_symbol
_atom_site_fract_x
_atom_site_fract_y
_atom_site_fract_z
_atom_site_occupancy
Li1 Li 0.0000 0.0000 0.0000 1
Tc1 Tc 0.0000 0.5000 0.7414 1
Ir1 Ir 0.0000 0.0000 0.4977 1
Ir2 Ir 0.0000 0.5000 0.2688 1